(1)
CaIr2Pt: optimized geometry, PBE.

Output
For the volume, the calculation gives 18.0 A^3/atom. The calculation puts the total energy at -6.259 eV per atom. As for the energy relative to the elements: 0.18 eV/atom.

Lattice parameters (Å, degrees): 3.302 3.302 6.619 90.00 90.00 90.00
Space group P4/mmm (No. 123)
Symmetry-distinct sites (fractional):
Ca1 0.000 0.000 0.000
Ir1 0.500 0.500 0.296
Pt1 0.000 0.000 0.500

(2)
Sr4CdAu: optimized geometry, PBE.

Output
For the volume, the calculation gives 43.0 A^3/atom. The calculation puts the total energy at -1.420 eV per atom. As for the energy relative to the elements: 0.40 eV/atom.

Lattice parameters (Å, degrees): 10.102 10.102 10.102 90.00 90.00 90.00
Space group F-43m (No. 216)
Symmetry-distinct sites (fractional):
Sr1 0.125 0.125 0.125
Cd1 0.000 0.000 0.500
Au1 0.250 0.250 0.750

Q: Number 2 is which compound?
A: Sr4CdAu

Q: Which of these has the lowest energy relative to the elements?
A: CaIr2Pt

Q: Which value of energy relative to the elements does entry 1 give?
A: 0.18 eV/atom

Q: Which value of energy relative to the elements does entry 2 give?
A: 0.40 eV/atom